Entry 1:
Below is crystalline Eu3AlH at its relaxed geometry, with properties calculated at the PBE level. Values from VASP.

Geometry as Quantum ESPRESSO input:
```
&SYSTEM
  ibrav = 0, nat = 5, ntyp = 3
/
ATOMIC_SPECIES
Eu 151.96 Eu.upf
H 1.01 H.upf
Al 26.98 Al.upf
CELL_PARAMETERS angstrom
-4.0768 -2.2044 1.9404
-0.8670 -2.2683 -4.3986
2.8059 -3.9039 1.4601
ATOMIC_POSITIONS crystal
Eu 0.5000 0.0000 0.0000
Eu 0.0000 0.0000 0.5000
Eu 0.0000 0.5000 0.0000
H 0.0000 0.0000 0.0000
Al 0.5000 0.5000 0.5000
```

Space-group type   Pm-3m, No. 221
N(E_F)   4.2 states/eV/f.u.
VASP energy   -39.14 eV per formula unit



Entry 2:
Below is crystalline KTaRuO6 at its relaxed geometry, with properties calculated at the PBE level. Values from VASP.

Geometry as Quantum ESPRESSO input:
```
&SYSTEM
  ibrav = 0, nat = 9, ntyp = 4
/
ATOMIC_SPECIES
O 16.00 O.upf
Ta 180.95 Ta.upf
K 39.10 K.upf
Ru 101.07 Ru.upf
CELL_PARAMETERS angstrom
-5.0261 1.0130 -1.3758
-3.7976 0.1054 3.7077
0.9599 5.8714 0.8163
ATOMIC_POSITIONS crystal
O 0.0036 0.5981 0.6864
O 0.5980 0.3983 0.6864
O 0.3983 0.0037 0.6864
O 0.0119 0.3798 0.3175
O 0.6083 0.0119 0.3175
O 0.3797 0.6083 0.3175
Ta 0.6666 0.6667 0.4727
K 0.0000 0.0000 0.9970
Ru 0.3333 0.3334 0.5184
```

Space-group type   P3, No. 143
N(E_F)   3.7 states/eV/f.u.
VASP energy   -67.57 eV per formula unit



Entry 3:
Below is crystalline CrIr2Se at its relaxed geometry, with properties calculated at the PBE level. Values from VASP.

Geometry as Quantum ESPRESSO input:
```
&SYSTEM
  ibrav = 0, nat = 4, ntyp = 3
/
ATOMIC_SPECIES
Ir 192.22 Ir.upf
Se 78.96 Se.upf
Cr 52.00 Cr.upf
CELL_PARAMETERS angstrom
-0.9093 4.3948 2.7352
-1.7255 -0.3821 4.9496
3.7827 -1.0595 -3.4916
ATOMIC_POSITIONS crystal
Ir 0.7275 0.2275 0.5000
Ir 0.0047 0.0047 0.0000
Se 0.4984 0.4984 0.0000
Cr 0.2695 0.7695 0.5000
```

Space-group type   Imm2, No. 44
N(E_F)   4.0 states/eV/f.u.
VASP energy   -29.57 eV per formula unit



Entry 4:
Below is crystalline SrMoP at its relaxed geometry, with properties calculated at the PBE level. Values from VASP.

Geometry as Quantum ESPRESSO input:
```
&SYSTEM
  ibrav = 0, nat = 3, ntyp = 3
/
ATOMIC_SPECIES
Mo 95.94 Mo.upf
Sr 87.62 Sr.upf
P 30.97 P.upf
CELL_PARAMETERS angstrom
-4.5848 0.9104 1.0627
-1.7558 4.4258 -0.5549
-3.1379 0.9113 -3.5073
ATOMIC_POSITIONS crystal
Mo 0.2500 0.2500 0.2500
Sr 0.5000 0.5000 0.5000
P 0.0000 0.0000 0.0000
```

Space-group type   F-43m, No. 216
Distance to the lowest polymorph of the same formula   1.409 eV/atom
N(E_F)   2.2 states/eV/f.u.
ΔH_f (0 K)   2.387 eV/f.u.